Record 1
The following is a PBE calculation of InGe3 after structural relaxation, from Alexandria via LeMat-Bulk.

Properties
**E_form**: 0.2970 eV/atom
**D(E_F)**: 0.71 states/eV per atom
**SG**: Pm-3m

Unit cell a=4.4068 b=4.4068 c=4.4068 alpha=90.00 beta=90.00 gamma=90.00
Atoms (fractional coordinates):
Ge 0.5000 0.0000 0.0000
Ge 0.0000 0.0000 0.5000
Ge 0.0000 0.5000 0.0000
In 0.5000 0.5000 0.5000

Record 2
The following is a PBE calculation of In3Ge2 after structural relaxation, from Alexandria via LeMat-Bulk.

Properties
**E_form**: 0.1651 eV/atom
**D(E_F)**: 0.35 states/eV per atom
**SG**: R-3c

Unit cell a=7.1542 b=7.1542 c=7.4689 alpha=61.38 beta=61.38 gamma=60.00
Atoms (fractional coordinates):
In 0.7500 0.4635 0.7500
In 0.0365 0.7500 0.7500
In 0.4635 0.0365 0.7500
In 0.9635 0.2500 0.2500
In 0.5365 0.9635 0.2500
In 0.2500 0.5365 0.2500
Ge 0.3614 0.3614 0.9157
Ge 0.8614 0.8614 0.4157
Ge 0.6386 0.6386 0.0843
Ge 0.1386 0.1386 0.5843

Record 3
The following is a PBE calculation of In3Ge after structural relaxation, from Alexandria via LeMat-Bulk.

Properties
**E_form**: 0.1321 eV/atom
**D(E_F)**: 0.51 states/eV per atom
**SG**: I4/mmm

Unit cell a=4.4433 b=4.4433 c=5.9426 alpha=111.95 beta=111.95 gamma=90.00
Atoms (fractional coordinates):
In 0.7500 0.2500 0.5000
In 0.2500 0.7500 0.5000
In 0.5000 0.5000 0.0000
Ge 0.0000 0.0000 0.0000

Record 4
The following is a PBE calculation of InGe2 after structural relaxation, from Alexandria via LeMat-Bulk.

Properties
**E_form**: 0.2269 eV/atom
**D(E_F)**: 0.38 states/eV per atom
**SG**: I4/mmm

Unit cell a=3.3591 b=3.3591 c=6.3111 alpha=105.43 beta=105.43 gamma=90.00
Atoms (fractional coordinates):
Ge 0.6869 0.6869 0.3737
Ge 0.3131 0.3131 0.6263
In 0.0000 0.0000 0.0000

Record 5
The following is a PBE calculation of In3Ge after structural relaxation, from Alexandria via LeMat-Bulk.

Properties
**E_form**: 0.1073 eV/atom
**D(E_F)**: 0.45 states/eV per atom
**SG**: Imm2

Unit cell a=3.4036 b=5.1554 c=6.5848 alpha=113.05 beta=104.98 gamma=90.00
Atoms (fractional coordinates):
In 0.2833 0.6968 0.5667
In 0.7167 0.1301 0.4333
In 0.5000 0.4192 0.0000
Ge 0.0000 0.9205 0.0000

Record 6
The following is a PBE calculation of InGe2 after structural relaxation, from Alexandria via LeMat-Bulk.

Properties
**E_form**: 0.1975 eV/atom
**D(E_F)**: 0.42 states/eV per atom
**SG**: Fd-3m

Unit cell a=5.7184 b=5.7184 c=5.7184 alpha=60.00 beta=60.00 gamma=60.00
Atoms (fractional coordinates):
In 0.0000 0.0000 0.0000
In 0.2500 0.2500 0.2500
Ge 0.6250 0.6250 0.6250
Ge 0.1250 0.6250 0.6250
Ge 0.6250 0.1250 0.6250
Ge 0.6250 0.6250 0.1250

Record 7
The following is a PBE calculation of In3Ge after structural relaxation, from Alexandria via LeMat-Bulk.

Properties
**E_form**: 0.1230 eV/atom
**D(E_F)**: 0.37 states/eV per atom
**SG**: P6_3/mmc

Unit cell a=6.5631 b=6.5631 c=5.3767 alpha=90.00 beta=90.00 gamma=120.00
Atoms (fractional coordinates):
In 0.1697 0.3394 0.2500
In 0.1697 0.8303 0.2500
In 0.8303 0.6606 0.7500
In 0.8303 0.1697 0.7500
In 0.6606 0.8303 0.2500
In 0.3394 0.1697 0.7500
Ge 0.6667 0.3333 0.2500
Ge 0.3333 0.6667 0.7500

Record 8
The following is a PBE calculation of In3Ge after structural relaxation, from Alexandria via LeMat-Bulk.

Properties
**E_form**: 0.1181 eV/atom
**D(E_F)**: 0.29 states/eV per atom
**SG**: Pmm2

Unit cell a=3.6273 b=3.2640 c=8.7619 alpha=90.00 beta=90.00 gamma=90.00
Atoms (fractional coordinates):
In 0.0000 0.5000 0.4661
In 0.5000 0.0000 0.7158
In 0.5000 0.5000 0.1750
Ge 0.0000 0.0000 0.9765

Record 9
The following is a PBE calculation of InGe3 after structural relaxation, from Alexandria via LeMat-Bulk.

Properties
**E_form**: 0.3245 eV/atom
**D(E_F)**: 0.55 states/eV per atom
**SG**: Fm-3m

Unit cell a=4.9422 b=4.9422 c=4.9422 alpha=60.00 beta=60.00 gamma=60.00
Atoms (fractional coordinates):
Ge 0.5000 0.5000 0.5000
Ge 0.2500 0.2500 0.2500
Ge 0.7500 0.7500 0.7500
In 0.0000 0.0000 0.0000

Record 10
The following is a PBE calculation of InGe3 after structural relaxation, from Alexandria via LeMat-Bulk.

Properties
**E_form**: 0.2829 eV/atom
**D(E_F)**: 0.44 states/eV per atom
**SG**: I4/mmm

Unit cell a=5.6208 b=5.6208 c=5.6208 alpha=135.88 beta=135.88 gamma=64.16
Atoms (fractional coordinates):
Ge 0.2500 0.7500 0.5000
Ge 0.7500 0.2500 0.5000
Ge 0.5000 0.5000 0.0000
In 0.0000 0.0000 0.0000

Record 11
The following is a PBE calculation of In3Ge after structural relaxation, from Alexandria via LeMat-Bulk.

Properties
**E_form**: 0.1178 eV/atom
**D(E_F)**: 0.42 states/eV per atom
**SG**: Fm-3m

Unit cell a=5.2156 b=5.2156 c=5.2156 alpha=60.00 beta=60.00 gamma=60.00
Atoms (fractional coordinates):
Ge 0.0000 0.0000 0.0000
In 0.5000 0.5000 0.5000
In 0.2500 0.2500 0.2500
In 0.7500 0.7500 0.7500

Record 12
The following is a PBE calculation of InGeIr2 after structural relaxation, from Alexandria via LeMat-Bulk.

Properties
**E_form**: -0.0270 eV/atom
**D(E_F)**: 0.65 states/eV per atom
**SG**: R3m
**ΔE to the lowest computed polymorph**: 78 meV per atom

Unit cell a=4.0081 b=4.0081 c=5.6203 alpha=69.11 beta=69.11 gamma=60.00
Atoms (fractional coordinates):
Ir 0.2661 0.2661 0.2018
Ir 0.0649 0.0649 0.8052
Ge 0.6745 0.6745 0.9764
In 0.4945 0.4945 0.5166